A relaxed structure of Tl2SiOs, computed with PBE.

Calculated values
- ρ: 12.95 Mg/m³
- ΔE_f (raw): 4.24 eV/f.u.
- DOS at the Fermi energy: 17.8 states/eV per cell
- Excess energy over the best structure of this formula in the dataset: 845 meV/atom

Cell: 6.851 6.851 6.851 Å, 90.00 90.00 90.00°
Space group F-43m (No. 216)
Unique sites:
Tl1 0.000 0.000 0.000
Tl2 0.250 0.250 0.250
Si1 0.000 0.000 0.500
Os1 0.250 0.250 0.750